A plane-wave DFT calculation with PBE was carried out for an optimized crystal structure of CuNi2.

```
6
Lattice="-2.8657 -1.1520 -1.7514 -2.8558 -3.4560 3.3469 -1.8710 2.7555 1.2489" Properties=species:S:1:pos:R:3 pbc="T T T"
Ni -2.6129 -1.3287 1.5501
Ni -4.5140 -2.8524 2.0639
Ni -4.9797 -0.5238 1.2943
Ni -3.0786 0.9999 0.7805
Cu -4.0215 -0.9087 3.5788
Cu -3.5710 -0.9438 -0.7344
```

Summary:
Its total magnetic moment is 0.819 μB/f.u. As for the formation energy: 39 meV per atom.